VASP calculation (PBE-GGA) on BaNiAu2 after structural relaxation.

Unit cell a=4.556 b=4.556 c=4.416 alpha=90.00 beta=90.00 gamma=90.00
Atoms (fractional coordinates):
Ba  0.000  0.000  0.000
Ni  0.500  0.500  0.000
Au  0.000  0.500  0.500
Au  0.500  0.000  0.500

## Properties
- Density of states at the Fermi level: 1.9 states/eV per cell
- Raw total energy: -13.96 eV/cell

VASP calculation (PBE-GGA) on Ba3NiAu after structural relaxation.

Unit cell a=5.878 b=5.878 c=5.878 alpha=90.00 beta=90.00 gamma=90.00
Atoms (fractional coordinates):
Ba  0.000  0.000  0.500
Ba  0.000  0.500  0.000
Ba  0.500  0.000  0.000
Ni  0.000  0.000  0.000
Au  0.500  0.500  0.500

## Properties
- Excess energy over the best structure of this formula in the dataset: 0.253 eV per atom
- Density of states at the Fermi level: 2.8 states/eV per cell

VASP calculation (PBE-GGA) on BaNiAu2 after structural relaxation.

Unit cell a=9.363 b=9.363 c=9.363 alpha=147.62 beta=147.62 gamma=46.45
Atoms (fractional coordinates):
Ba  0.375  0.625  0.750
Ba  0.625  0.375  0.250
Ni  0.125  0.875  0.250
Ni  0.875  0.125  0.750
Au  0.000  0.000  0.000
Au  0.000  0.000  0.500
Au  0.000  0.500  0.000
Au  0.500  0.000  0.500

## Properties
- Density of states at the Fermi level: 3.0 states/eV per cell
- Raw total energy: -30.43 eV/cell

VASP calculation (PBE-GGA) on BaNiAu2 after structural relaxation.

Unit cell a=3.472 b=3.472 c=7.327 alpha=90.00 beta=90.00 gamma=90.00
Atoms (fractional coordinates):
Ba  0.000  0.000  0.000
Ni  0.000  0.000  0.500
Au  0.500  0.500  0.314
Au  0.500  0.500  0.686

## Properties
- Density of states at the Fermi level: 3.4 states/eV per cell
- Raw total energy: -14.52 eV/cell